! TaAlIr2Os PBE optimized geometry; values from VASP
&SYSTEM
  ibrav = 0, nat = 5, ntyp = 4
/
ATOMIC_SPECIES
Ir 192.22 Ir.upf
Ta 180.95 Ta.upf
Al 26.98 Al.upf
Os 190.23 Os.upf
ATOMIC_POSITIONS angstrom
Ir 0.0000 0.0000 2.1893
Ta 2.1893 2.2082 2.1893
Ir 2.1893 0.0000 0.0000
Al 0.0000 0.0000 0.0000
Os 0.0000 2.2082 0.0000
CELL_PARAMETERS angstrom
4.3785 0.0000 0.0000
0.0000 4.4164 0.0000
0.0000 0.0000 4.3785
! Formation energy from the elements in eV/atom: 0.867
! DOS at the Fermi energy in states/eV/cell: 1.8
! Volume in Å³/cell: 84.7